1.
Computed, not measured: a geometry-optimized CsBaPd2 structure at the GGA-PBE level of DFT.

```
CsBaPd2
1.0
8.7802 0.0000 0.0000
0.0000 8.7802 0.0000
4.3901 4.3901 3.4265
Pd Cs Ba
4 2 2
Cartesian
10.9753 11.0911 2.5699
2.0792 6.5852 0.8566
6.5852 6.4693 2.5699
6.7010 2.1951 0.8566
4.3901 4.3901 0.0000
4.3901 8.7802 1.7132
0.0000 0.0000 0.0000
8.7802 4.3901 1.7132
```

Calculated values
SG ... I-42d (122)
Formation energy ... 113 meV per atom



2.
Computed, not measured: a geometry-optimized TaTlF5 structure at the GGA-PBE level of DFT.

```
TaTlF5
1.0
6.3925 0.0039 1.4949
1.4463 6.2268 1.4949
1.0085 0.8016 8.1214
F Tl Ta
10 2 2
Cartesian
5.6171 1.9309 5.5600
3.2303 5.1013 5.5512
1.7006 6.4245 3.5252
2.6444 4.6357 1.4993
1.9796 1.6502 3.7571
6.8677 5.3820 7.3541
6.2887 5.0753 3.2934
7.1468 0.6077 7.5859
2.5586 1.9569 7.8178
6.2029 2.3965 9.6119
4.6790 3.7125 7.5859
4.1683 3.3197 3.5252
0.5042 0.4008 4.0607
0.0000 0.0000 0.0000
```

Calculated values
SG ... C2/c (15)
Raw formation energy ... -2.702 eV/atom



3.
Computed, not measured: a geometry-optimized HfMn5P3 structure at the GGA-PBE level of DFT.

```
HfMn5P3
1.0
-2.9988 0.2338 2.3141
-0.3031 -5.7152 -2.9272
5.4120 -4.0907 7.4266
Mn P Hf
10 6 2
Cartesian
3.0380 -3.7911 7.4318
2.7060 -2.0454 3.7133
-2.2935 -3.6173 0.5053
0.0000 0.0000 0.0000
2.3542 -4.4057 3.4959
-0.9279 -5.7810 -0.6183
1.8335 -2.8806 5.7789
-0.2440 -5.1664 3.3176
4.4036 -5.9548 6.3082
0.2767 -6.6915 1.0346
-1.7108 -1.5934 1.0559
1.6607 -6.3458 2.7932
3.7026 -4.1750 5.2199
3.8209 -7.9787 5.7575
0.4495 -3.2263 4.0203
-1.5924 -5.3971 1.5936
1.2670 -6.9659 5.4575
0.8432 -2.6062 1.3560
```

Calculated values
SG ... Cmcm (63)
Formation energy ... -499 meV per atom



| no. | uncorrected energy (eV/atom) |
| --- | --- |
| 1 | -3.178 |
| 2 | -6.070 |
| 3 | -8.502 |